1.
First-principles (GGA-PBE) data for an optimized crystal structure of Tm2ScAl2, as listed in the Alexandria database.

Output
Its crystal system is tetragonal. The calculation puts the total moment at 0.000 μB per formula unit. The calculation puts the energy above the most stable polymorph in this dataset at 0.000 eV per atom.

Cell and atoms, written as CIF:
```
data_Tm2ScAl2
_chemical_formula_sum 'Tm4 Sc2 Al4'
_cell_length_a 7.5594
_cell_length_b 7.5594
_cell_length_c 4.2525
_cell_angle_alpha 90.00
_cell_angle_beta 90.00
_cell_angle_gamma 90.00
_symmetry_space_group_name_H-M 'P 4/m b m'
_symmetry_Int_Tables_number 127
_symmetry_space_group_name_Hall '-P 4 2ab'
loop_
_atom_site_label
_atom_site_type_symbol
_atom_site_fract_x
_atom_site_fract_y
_atom_site_fract_z
_atom_site_occupancy
Tm1 Tm 0.1748 0.3252 0.0000 1
Sc1 Sc 0.0000 0.0000 0.5000 1
Al1 Al 0.1233 0.6233 0.5000 1
```

---

2.
First-principles (GGA-PBE) data for an optimized crystal structure of TmSc12Al3, as listed in the Alexandria database.

Output
Its crystal system is tetragonal. The calculation puts the total moment at 0.184 μB per formula unit.

Cell and atoms, written as CIF:
```
data_TmSc12Al3
_chemical_formula_sum 'Tm1 Sc12 Al3'
_cell_length_a 4.4598
_cell_length_b 4.4598
_cell_length_c 18.1962
_cell_angle_alpha 90.00
_cell_angle_beta 90.00
_cell_angle_gamma 90.00
_symmetry_space_group_name_H-M 'P 4/m m m'
_symmetry_Int_Tables_number 123
_symmetry_space_group_name_Hall '-P 4 2'
loop_
_atom_site_label
_atom_site_type_symbol
_atom_site_fract_x
_atom_site_fract_y
_atom_site_fract_z
_atom_site_occupancy
Tm1 Tm 0.0000 0.0000 0.0000 1
Sc1 Sc 0.0000 0.5000 0.1368 1
Sc2 Sc 0.0000 0.5000 0.3793 1
Sc3 Sc 0.5000 0.5000 0.0000 1
Sc4 Sc 0.5000 0.5000 0.2597 1
Sc5 Sc 0.5000 0.5000 0.5000 1
Al1 Al 0.0000 0.0000 0.2582 1
Al2 Al 0.0000 0.0000 0.5000 1
```

---

3.
First-principles (GGA-PBE) data for an optimized crystal structure of Tm2Sc3Al2, as listed in the Alexandria database.

Output
Its crystal system is monoclinic. The calculation puts the total moment at 0.002 μB per formula unit.

Cell and atoms, written as CIF:
```
data_Tm2Sc3Al2
_chemical_formula_sum 'Tm2 Sc3 Al2'
_cell_length_a 3.2494
_cell_length_b 3.2715
_cell_length_c 15.5084
_cell_angle_alpha 90.00
_cell_angle_beta 96.01
_cell_angle_gamma 90.00
_symmetry_space_group_name_H-M 'P 1 2/m 1'
_symmetry_Int_Tables_number 10
loop_
_symmetry_equiv_pos_as_xyz
'x,y,z'
'-x,-y,-z'
'-x,y,-z'
'x,-y,z'
loop_
_atom_site_label
_atom_site_type_symbol
_atom_site_fract_x
_atom_site_fract_y
_atom_site_fract_z
_atom_site_occupancy
Tm1 Tm 0.1997 0.0000 0.4000 1
Sc1 Sc 0.3798 0.5000 0.7591 1
Sc2 Sc 0.5000 0.5000 0.0000 1
Al1 Al 0.0603 0.0000 0.1209 1
```

---

4.
First-principles (GGA-PBE) data for an optimized crystal structure of TmSc5Al4, as listed in the Alexandria database.

Output
Its crystal system is tetragonal. The calculation puts the total moment at 0.001 μB per formula unit.

Cell and atoms, written as CIF:
```
data_TmSc5Al4
_chemical_formula_sum 'Tm1 Sc5 Al4'
_cell_length_a 3.3369
_cell_length_b 3.3369
_cell_length_c 18.7946
_cell_angle_alpha 90.00
_cell_angle_beta 90.00
_cell_angle_gamma 90.00
_symmetry_space_group_name_H-M 'P 4/m m m'
_symmetry_Int_Tables_number 123
_symmetry_space_group_name_Hall '-P 4 2'
loop_
_atom_site_label
_atom_site_type_symbol
_atom_site_fract_x
_atom_site_fract_y
_atom_site_fract_z
_atom_site_occupancy
Tm1 Tm 0.0000 0.0000 0.0000 1
Sc1 Sc 0.5000 0.5000 0.1288 1
Sc2 Sc 0.5000 0.5000 0.3152 1
Sc3 Sc 0.5000 0.5000 0.5000 1
Al1 Al 0.0000 0.0000 0.2216 1
Al2 Al 0.0000 0.0000 0.4075 1
```

---

5.
First-principles (GGA-PBE) data for an optimized crystal structure of Tm2Sc2Al3, as listed in the Alexandria database.

Output
Its crystal system is orthorhombic. The calculation puts the total moment at 0.330 μB per formula unit. The calculation puts the energy above the most stable polymorph in this dataset at 0.000 eV per atom.

Cell and atoms, written as CIF:
```
data_Tm2Sc2Al3
_chemical_formula_sum 'Tm4 Sc4 Al6'
_cell_length_a 3.2342
_cell_length_b 30.0222
_cell_length_c 3.2252
_cell_angle_alpha 90.00
_cell_angle_beta 90.00
_cell_angle_gamma 90.00
_symmetry_space_group_name_H-M 'C m m m'
_symmetry_Int_Tables_number 65
_symmetry_space_group_name_Hall '-C 2 2'
loop_
_atom_site_label
_atom_site_type_symbol
_atom_site_fract_x
_atom_site_fract_y
_atom_site_fract_z
_atom_site_occupancy
Tm1 Tm 0.0000 0.0686 0.0000 1
Sc1 Sc 0.0000 0.2014 0.0000 1
Al1 Al 0.0000 0.3605 0.5000 1
Al2 Al 0.0000 0.5000 0.5000 1
```

---

6.
First-principles (GGA-PBE) data for an optimized crystal structure of Tm2ScAl3, as listed in the Alexandria database.

Output
Its crystal system is tetragonal. The calculation puts the total moment at 0.000 μB per formula unit.

Cell and atoms, written as CIF:
```
data_Tm2ScAl3
_chemical_formula_sum 'Tm2 Sc1 Al3'
_cell_length_a 3.4896
_cell_length_b 3.4896
_cell_length_c 10.4995
_cell_angle_alpha 90.00
_cell_angle_beta 90.00
_cell_angle_gamma 90.00
_symmetry_space_group_name_H-M 'P 4/m m m'
_symmetry_Int_Tables_number 123
_symmetry_space_group_name_Hall '-P 4 2'
loop_
_atom_site_label
_atom_site_type_symbol
_atom_site_fract_x
_atom_site_fract_y
_atom_site_fract_z
_atom_site_occupancy
Tm1 Tm 0.0000 0.0000 0.1727 1
Sc1 Sc 0.0000 0.0000 0.5000 1
Al1 Al 0.5000 0.5000 0.0000 1
Al2 Al 0.5000 0.5000 0.3489 1
```

---

DFT formation energy (kJ per mole of atoms)
-30.73, -15.40, -17.79, -34.12, -26.77, -39.07